No. 1
Rb3TlCl8 (PBE, optimized geometry); symmetry = No. 139; density of states at the Fermi level = 1.208 states/eV per atom; formation energy without anion corrections = -986.6 meV per atom
1.0
-3.933 -6.019 1.809
6.189 -3.338 2.350
-2.249 7.507 4.893
Rb Tl Cl
3 1 8
Direct
0.750 0.250 0.500 Rb
0.500 0.500 0.000 Rb
0.250 0.750 0.500 Rb
0.000 0.000 0.000 Tl
0.327 0.327 0.220 Cl
0.327 0.893 0.220 Cl
0.107 0.673 0.780 Cl
0.107 0.107 0.780 Cl
0.893 0.893 0.220 Cl
0.893 0.327 0.220 Cl
0.673 0.107 0.780 Cl
0.673 0.673 0.780 Cl


No. 2
Sc2MoBr (PBE, optimized geometry); symmetry = No. 166; density of states at the Fermi level = 0.892 states/eV per atom; formation energy without anion corrections = -140.9 meV per atom; energy above the lowest structure with this stoichiometry = 227.2 meV per atom
1.0
2.004 0.000 9.090
-1.002 1.736 9.090
-1.002 -1.736 9.090
Sc Mo Br
2 1 1
Direct
0.903 0.903 0.903 Sc
0.097 0.097 0.097 Sc
0.500 0.500 0.500 Mo
0.000 0.000 0.000 Br


No. 3
TlInBr2 (PBE, optimized geometry); symmetry = No. 6; density of states at the Fermi level = 0.000 states/eV per atom; formation energy without anion corrections = -753.9 meV per atom; energy above the lowest structure with this stoichiometry = 0.0 meV per atom
1.0
6.713 0.000 0.000
0.000 4.763 -0.025
0.000 0.028 4.738
Tl Br In
1 2 1
Direct
0.500 0.874 0.877 Tl
0.000 0.876 0.872 Br
0.500 0.374 0.378 Br
0.000 0.375 0.374 In


> Look up the formation energy without anion corrections of the third one.

-753.9 meV per atom


> Among the records above, which one has the lowest formation energy without anion corrections?

Rb3TlCl8


> density of states at the Fermi level of number 2 (Sc2MoBr)?

0.892 states/eV per atom